Compound: ErTmTh3
Source: Alexandria via LeMat-Bulk
Functional: GGA-PBE
Structure: relaxed

a b c (Å): 9.140 7.864 9.167
angles (deg): 90.00 90.00 90.00
Sites, in units of the cell vectors:
1 Er 0.000 0.000 0.000
2 Er 0.000 0.500 0.000
3 Er 0.500 0.000 0.500
4 Er 0.500 0.500 0.500
5 Tm 0.166 0.250 0.345
6 Tm 0.334 0.750 0.845
7 Tm 0.666 0.250 0.155
8 Tm 0.834 0.750 0.655
9 Th 0.135 0.506 0.635
10 Th 0.135 0.994 0.635
11 Th 0.157 0.750 0.335
12 Th 0.343 0.250 0.835
13 Th 0.365 0.006 0.135
14 Th 0.365 0.494 0.135
15 Th 0.635 0.506 0.865
16 Th 0.635 0.994 0.865
17 Th 0.657 0.750 0.165
18 Th 0.843 0.250 0.665
19 Th 0.865 0.006 0.365
20 Th 0.865 0.494 0.365

**Electronic total energy**: -6.020 eV per atom
**ΔH_f (0 K)**: 0.2387 eV per atom
**Magnetic moment**: 0.00 μB per cell
**Energy relative to the lowest polymorph listed for this composition**: 108 meV per atom